1.
A plane-wave DFT calculation with meta-GGA SCAN was carried out for a crystal of SrCrF2 relaxed with PBEsol.

Lattice parameters (Å, degrees): 4.5290 4.5290 4.5290 60.00 60.00 60.00
Fractional positions:
Sr1 0.0000 0.0000 0.0000
Cr1 0.5000 0.5000 0.5000
F1 0.2500 0.2500 0.2500
F2 0.7500 0.7500 0.7500

Its polymorph energy (0 for the lowest one) is 526 meV per atom. Its volume is 66 Å³/cell.

=====

2.
A plane-wave DFT calculation with meta-GGA SCAN was carried out for a crystal of Ta3CrF relaxed with PBEsol.

Lattice parameters (Å, degrees): 4.2397 4.2397 4.2397 90.00 90.00 90.00
Fractional positions:
Ta1 0.0000 0.0000 0.5000
Ta2 0.0000 0.5000 0.0000
Ta3 0.5000 0.0000 0.0000
Cr1 0.5000 0.5000 0.5000
F1 0.0000 0.0000 0.0000

Its volume is 76 Å³/cell.

=====

3.
A plane-wave DFT calculation with meta-GGA SCAN was carried out for a crystal of TaCrF2 relaxed with PBEsol.

Lattice parameters (Å, degrees): 7.7786 7.7786 7.7786 20.73 20.73 20.73
Fractional positions:
Ta1 0.0000 0.0000 0.0000
Cr1 0.5000 0.5000 0.5000
F1 0.0912 0.0912 0.0912
F2 0.9088 0.9088 0.9088

Its volume is 52 Å³/cell.

=====

4.
A plane-wave DFT calculation with meta-GGA SCAN was carried out for a crystal of Cr3TcF relaxed with PBEsol.

Lattice parameters (Å, degrees): 4.6192 4.6192 4.6192 90.00 90.00 90.00
Fractional positions:
Cr1 0.0000 0.0000 0.5000
Cr2 0.0000 0.5000 0.0000
Cr3 0.5000 0.0000 0.0000
Tc1 0.0000 0.0000 0.0000
F1 0.5000 0.5000 0.5000

Its volume is 99 Å³/cell.

=====

5.
A plane-wave DFT calculation with meta-GGA SCAN was carried out for a crystal of CrTe2F relaxed with PBEsol.

Lattice parameters (Å, degrees): 9.6869 9.6869 9.6869 18.80 18.80 18.80
Fractional positions:
Cr1 0.0000 0.0000 0.0000
Te1 0.0937 0.0937 0.0937
Te2 0.9063 0.9063 0.9063
F1 0.5000 0.5000 0.5000

Its volume is 82 Å³/cell.

=====

6.
A plane-wave DFT calculation with meta-GGA SCAN was carried out for a crystal of TiCrF2 relaxed with PBEsol.

Lattice parameters (Å, degrees): 7.7106 7.7106 7.7106 22.18 22.18 22.18
Fractional positions:
Ti1 0.0000 0.0000 0.0000
Cr1 0.5000 0.5000 0.5000
F1 0.0839 0.0839 0.0839
F2 0.9161 0.9161 0.9161

Its volume is 57 Å³/cell.

=====

Total DFT energy (no corrections) list, top to bottom, in eV/atom: -13.9143; -44.0699; -24.1655; -17.9475; -24.2151; -11.8760
Energy relative to the elements, uncorrected list, top to bottom, in meV per atom: -1979; 265; -1154; 803; -108; -1502